This record from Alexandria via LeMat-Bulk describes crystalline Ca2YLu at its relaxed geometry. The functional is PBE-GGA.

Lattice parameters (Å, degrees): 5.1222 5.1222 5.4258 90.00 90.00 90.00
Element x y z (fractional)
1 Ca 0.0000 0.5000 0.0000
2 Ca 0.5000 0.0000 0.0000
3 Y 0.0000 0.0000 0.5000
4 Lu 0.5000 0.5000 0.5000

Formation energy: 0.191 eV/atom
SG: P4/mmm (123)
Crystal system: tetragonal
Energy above the most stable polymorph in this dataset: 0.147 eV/f.u.

---

This record from Alexandria via LeMat-Bulk describes crystalline Tm2ZnSi2Ir5 at its relaxed geometry. The functional is PBE-GGA.

Lattice parameters (Å, degrees): 9.6271 9.6271 3.4761 90.00 90.00 90.00
Element x y z (fractional)
1 Tm 0.1739 0.3261 0.0000
2 Tm 0.3261 0.8261 0.0000
3 Tm 0.6739 0.1739 0.0000
4 Tm 0.8261 0.6739 0.0000
5 Zn 0.0000 0.0000 0.0000
6 Zn 0.5000 0.5000 0.0000
7 Si 0.1263 0.6263 0.0000
8 Si 0.3737 0.1263 0.0000
9 Si 0.6263 0.8737 0.0000
10 Si 0.8737 0.3737 0.0000
11 Ir 0.0000 0.5000 0.5000
12 Ir 0.0675 0.7907 0.5000
13 Ir 0.2093 0.0675 0.5000
14 Ir 0.2907 0.5675 0.5000
15 Ir 0.4325 0.2907 0.5000
16 Ir 0.5000 0.0000 0.5000
17 Ir 0.5675 0.7093 0.5000
18 Ir 0.7093 0.4325 0.5000
19 Ir 0.7907 0.9325 0.5000
20 Ir 0.9325 0.2093 0.5000

SG: P4/mbm (127)
VASP energy: -7.37 eV per atom
Crystal system: tetragonal

---

This record from Alexandria via LeMat-Bulk describes crystalline TbSc3Sn2 at its relaxed geometry. The functional is PBE-GGA.

Lattice parameters (Å, degrees): 8.5963 8.5963 8.5963 132.50 69.98 131.81
Element x y z (fractional)
1 Tb 0.0000 0.0000 0.0000
2 Tb 0.5000 0.5000 0.0000
3 Sc 0.0396 0.2500 0.7896
4 Sc 0.2500 0.7500 0.5000
5 Sc 0.4604 0.2500 0.2104
6 Sc 0.5396 0.7500 0.7896
7 Sc 0.7500 0.2500 0.5000
8 Sc 0.9604 0.7500 0.2104
9 Sn 0.1447 0.6735 0.8183
10 Sn 0.3553 0.1735 0.5288
11 Sn 0.6447 0.8265 0.4712
12 Sn 0.8553 0.3265 0.1817

Formation energy: -0.239 eV/atom
SG: Ibam (72)
Crystal system: orthorhombic

---

This record from Alexandria via LeMat-Bulk describes crystalline In2CuTe at its relaxed geometry. The functional is PBE-GGA.

Lattice parameters (Å, degrees): 6.1370 6.1370 3.1627 90.00 90.00 122.29
Element x y z (fractional)
1 In 0.0000 0.5000 0.0000
2 In 0.5000 0.0000 0.0000
3 Cu 0.0000 0.0000 0.5000
4 Te 0.5000 0.5000 0.5000

SG: Cmmm (65)
VASP energy: -2.95 eV per atom
Crystal system: orthorhombic

---

This record from Alexandria via LeMat-Bulk describes crystalline CuMoAu2 at its relaxed geometry. The functional is PBE-GGA.

Lattice parameters (Å, degrees): 5.6549 5.6549 5.6549 151.86 129.59 58.73
Element x y z (fractional)
1 Cu 0.0000 0.0000 0.0000
2 Mo 0.2258 0.7258 0.5000
3 Au 0.4893 0.4893 0.0000
4 Au 0.7684 0.2684 0.5000

Formation energy: 0.315 eV/atom
SG: Imm2 (44)
Crystal system: orthorhombic
Energy above the most stable polymorph in this dataset: 0.750 eV/f.u.

---

This record from Alexandria via LeMat-Bulk describes crystalline MnNb2S3 at its relaxed geometry. The functional is PBE-GGA.

Lattice parameters (Å, degrees): 6.7785 6.7785 6.7785 150.75 56.85 132.40
Element x y z (fractional)
1 Mn 0.0000 0.0000 0.0000
2 Nb 0.2246 0.9195 0.3051
3 Nb 0.6145 0.9195 0.6949
4 S 0.2678 0.7678 0.5000
5 S 0.5704 0.7011 0.8693
6 S 0.8318 0.7011 0.1307

SG: Imm2 (44)
VASP energy: -7.49 eV per atom
Crystal system: orthorhombic

---

This record from Alexandria via LeMat-Bulk describes crystalline La2CdAg3 at its relaxed geometry. The functional is PBE-GGA.

Lattice parameters (Å, degrees): 9.9414 9.3198 6.0828 77.25 66.11 36.64
Element x y z (fractional)
1 La 0.2447 0.7553 0.7553
2 La 0.2500 0.2500 0.2500
3 La 0.7500 0.7500 0.7500
4 La 0.7553 0.2447 0.2447
5 Cd 0.3337 0.3337 0.6663
6 Cd 0.6663 0.6663 0.3337
7 Ag 0.1664 0.1664 0.8336
8 Ag 0.1673 0.6671 0.3329
9 Ag 0.3329 0.8327 0.1673
10 Ag 0.6671 0.1673 0.8327
11 Ag 0.8327 0.3329 0.6671
12 Ag 0.8336 0.8336 0.1664

Formation energy: -0.304 eV/atom
SG: Fmmm (69)
Crystal system: orthorhombic
Energy above the most stable polymorph in this dataset: 0.000 eV/f.u.

---

This record from Alexandria via LeMat-Bulk describes crystalline Li8Ga at its relaxed geometry. The functional is PBE-GGA.

Lattice parameters (Å, degrees): 6.4166 6.4166 6.4166 97.09 97.09 138.88
Element x y z (fractional)
1 Li 0.0000 0.3233 0.3233
2 Li 0.0000 0.6767 0.6767
3 Li 0.3233 0.0000 0.3233
4 Li 0.3422 0.3422 0.6844
5 Li 0.3422 0.6578 0.0000
6 Li 0.6578 0.3422 0.0000
7 Li 0.6578 0.6578 0.3156
8 Li 0.6767 0.0000 0.6767
9 Ga 0.0000 0.0000 0.0000

Formation energy: -0.084 eV/atom
SG: I4/mmm (139)
Crystal system: tetragonal

---

This record from Alexandria via LeMat-Bulk describes crystalline NaNbCu2S4 at its relaxed geometry. The functional is PBE-GGA.

Lattice parameters (Å, degrees): 7.6113 9.8219 9.8219 146.90 90.00 90.00
Element x y z (fractional)
1 Na 0.2500 0.1731 0.8269
2 Na 0.7500 0.8269 0.1731
3 Nb 0.2500 0.9247 0.1416
4 Nb 0.7500 0.1416 0.9247
5 Cu 0.0000 0.0476 0.0476
6 Cu 0.2500 0.4331 0.6377
7 Cu 0.5000 0.0476 0.0476
8 Cu 0.7500 0.6377 0.4331
9 S 0.0058 0.1802 0.3842
10 S 0.2500 0.5739 0.9801
11 S 0.2500 0.7956 0.8047
12 S 0.4942 0.1802 0.3842
13 S 0.5058 0.3842 0.1802
14 S 0.7500 0.8047 0.7956
15 S 0.7500 0.9801 0.5739
16 S 0.9942 0.3842 0.1802

SG: Ama2 (40)
Crystal system: orthorhombic
Energy above the most stable polymorph in this dataset: 0.000 eV/f.u.

---

This record from Alexandria via LeMat-Bulk describes crystalline CaTh2Al9 at its relaxed geometry. The functional is PBE-GGA.

Lattice parameters (Å, degrees): 9.4505 9.4505 9.4505 35.19 35.19 35.19
Element x y z (fractional)
1 Ca 0.0000 0.0000 0.0000
2 Th 0.1432 0.1432 0.1432
3 Th 0.8568 0.8568 0.8568
4 Al 0.0747 0.5875 0.5875
5 Al 0.3357 0.3357 0.3357
6 Al 0.4125 0.4125 0.9253
7 Al 0.4125 0.9253 0.4125
8 Al 0.5000 0.5000 0.5000
9 Al 0.5875 0.0747 0.5875
10 Al 0.5875 0.5875 0.0747
11 Al 0.6643 0.6643 0.6643
12 Al 0.9253 0.4125 0.4125

Formation energy: -0.281 eV/atom
SG: R-3m (166)
Crystal system: trigonal

---

This record from Alexandria via LeMat-Bulk describes crystalline SnP2AuO at its relaxed geometry. The functional is PBE-GGA.

Lattice parameters (Å, degrees): 4.9480 4.9480 3.9730 90.00 90.00 90.00
Element x y z (fractional)
1 Sn 0.0000 0.0000 0.0000
2 P 0.0000 0.5000 0.5000
3 P 0.5000 0.0000 0.5000
4 Au 0.5000 0.5000 0.5000
5 O 0.5000 0.5000 0.0000

SG: P4/mmm (123)
Crystal system: tetragonal
Energy above the most stable polymorph in this dataset: 0.123 eV/f.u.

---

This record from Alexandria via LeMat-Bulk describes crystalline ZrScInGa at its relaxed geometry. The functional is PBE-GGA.

Lattice parameters (Å, degrees): 3.0944 3.0944 8.6053 90.00 90.00 90.00
Element x y z (fractional)
1 Zr 0.0000 0.0000 0.0000
2 Sc 0.0000 0.0000 0.4523
3 In 0.5000 0.5000 0.7259
4 Ga 0.5000 0.5000 0.2289

Formation energy: -0.468 eV/atom
SG: P4mm (99)
Crystal system: tetragonal
Energy above the most stable polymorph in this dataset: 0.000 eV/f.u.

---

This record from Alexandria via LeMat-Bulk describes crystalline TmBeGa2Au5 at its relaxed geometry. The functional is PBE-GGA.

Lattice parameters (Å, degrees): 7.5726 7.5726 7.5726 145.83 133.20 59.20
Element x y z (fractional)
1 Tm 0.0000 0.0000 0.0000
2 Be 0.5000 0.5000 0.0000
3 Ga 0.3007 0.8007 0.5000
4 Ga 0.6993 0.1993 0.5000
5 Au 0.1024 0.3663 0.7360
6 Au 0.3697 0.6337 0.7360
7 Au 0.5000 0.0000 0.5000
8 Au 0.6303 0.3663 0.2640
9 Au 0.8976 0.6337 0.2640

Formation energy: -0.268 eV/atom
SG: Immm (71)
Crystal system: orthorhombic

---

This record from Alexandria via LeMat-Bulk describes crystalline BiPH3 at its relaxed geometry. The functional is PBE-GGA.

Lattice parameters (Å, degrees): 3.7550 3.7550 3.7550 90.00 90.00 90.00
Element x y z (fractional)
1 Bi 0.0000 0.0000 0.0000
2 P 0.5000 0.5000 0.5000
3 H 0.0000 0.5000 0.5000
4 H 0.5000 0.0000 0.5000
5 H 0.5000 0.5000 0.0000

SG: Pm-3m (221)
Crystal system: cubic
Energy above the most stable polymorph in this dataset: 0.000 eV/f.u.

---

This record from Alexandria via LeMat-Bulk describes crystalline BeAgPd2N at its relaxed geometry. The functional is PBE-GGA.

Lattice parameters (Å, degrees): 4.4964 4.4964 3.2148 90.00 90.00 90.00
Element x y z (fractional)
1 Be 0.0000 0.0000 0.0000
2 Ag 0.5000 0.5000 0.0000
3 Pd 0.0000 0.5000 0.5000
4 Pd 0.5000 0.0000 0.5000
5 N 0.0000 0.0000 0.5000

SG: P4/mmm (123)
VASP energy: -5.12 eV per atom
Crystal system: tetragonal

---

This record from Alexandria via LeMat-Bulk describes crystalline LuCd4Hg at its relaxed geometry. The functional is PBE-GGA.

Lattice parameters (Å, degrees): 5.8826 5.8826 5.8826 60.00 60.00 60.00
Element x y z (fractional)
1 Lu 0.0000 0.0000 0.0000
2 Cd 0.1235 0.6255 0.6255
3 Cd 0.6255 0.1235 0.6255
4 Cd 0.6255 0.6255 0.1235
5 Cd 0.6255 0.6255 0.6255
6 Hg 0.2500 0.2500 0.2500

Formation energy: -0.016 eV/atom
SG: F-43m (216)
Crystal system: cubic

---

This record from Alexandria via LeMat-Bulk describes crystalline SrCd8Sb6 at its relaxed geometry. The functional is PBE-GGA.

Lattice parameters (Å, degrees): 8.5883 8.5883 15.6302 90.00 90.00 120.00
Element x y z (fractional)
1 Sr 0.0000 0.0000 0.0000
2 Sr 0.0000 0.0000 0.5000
3 Cd 0.0000 0.2960 0.3100
4 Cd 0.0000 0.3634 0.6672
5 Cd 0.0000 0.6366 0.1672
6 Cd 0.0000 0.7040 0.8100
7 Cd 0.2960 0.0000 0.3100
8 Cd 0.2960 0.2960 0.8100
9 Cd 0.3333 0.6667 0.4350
10 Cd 0.3333 0.6667 0.9350
11 Cd 0.3634 0.0000 0.6672
12 Cd 0.3634 0.3634 0.1672
13 Cd 0.6366 0.0000 0.1672
14 Cd 0.6366 0.6366 0.6672
15 Cd 0.6667 0.3333 0.4350
16 Cd 0.6667 0.3333 0.9350
17 Cd 0.7040 0.0000 0.8100
18 Cd 0.7040 0.7040 0.3100
19 Sb 0.0000 0.0000 0.2194
20 Sb 0.0000 0.0000 0.7194
21 Sb 0.0000 0.3803 0.4857
22 Sb 0.0000 0.6197 0.9857
23 Sb 0.3333 0.6667 0.2419
24 Sb 0.3333 0.6667 0.7419
25 Sb 0.3803 0.0000 0.4857
26 Sb 0.3803 0.3803 0.9857
27 Sb 0.6197 0.0000 0.9857
28 Sb 0.6197 0.6197 0.4857
29 Sb 0.6667 0.3333 0.2419
30 Sb 0.6667 0.3333 0.7419

SG: P6_3cm (185)
VASP energy: -2.34 eV per atom
Crystal system: hexagonal

---

This record from Alexandria via LeMat-Bulk describes crystalline La3Ho5O12 at its relaxed geometry. The functional is PBE-GGA.

Lattice parameters (Å, degrees): 11.9075 11.9075 11.9075 109.47 109.47 109.47
Element x y z (fractional)
1 La 0.1250 0.2500 0.3750
2 La 0.1250 0.3750 0.7500
3 La 0.2500 0.3750 0.1250
4 La 0.2500 0.8750 0.6250
5 La 0.3750 0.1250 0.2500
6 La 0.3750 0.7500 0.1250
7 La 0.6250 0.2500 0.8750
8 La 0.6250 0.8750 0.7500
9 La 0.7500 0.1250 0.3750
10 La 0.7500 0.6250 0.8750
11 La 0.8750 0.6250 0.2500
12 La 0.8750 0.7500 0.6250
13 Ho 0.0000 0.0000 0.0000
14 Ho 0.0000 0.0000 0.5000
15 Ho 0.0000 0.5000 0.0000
16 Ho 0.0000 0.5000 0.5000
17 Ho 0.1250 0.7500 0.8750
18 Ho 0.1250 0.8750 0.2500
19 Ho 0.2500 0.1250 0.8750
20 Ho 0.2500 0.6250 0.3750
21 Ho 0.3750 0.2500 0.6250
22 Ho 0.3750 0.6250 0.7500
23 Ho 0.5000 0.0000 0.0000
24 Ho 0.5000 0.0000 0.5000
25 Ho 0.5000 0.5000 0.0000
26 Ho 0.5000 0.5000 0.5000
27 Ho 0.6250 0.3750 0.2500
28 Ho 0.6250 0.7500 0.3750
29 Ho 0.7500 0.3750 0.6250
30 Ho 0.7500 0.8750 0.1250
31 Ho 0.8750 0.1250 0.7500
32 Ho 0.8750 0.2500 0.1250
33 O 0.0377 0.2128 0.1290
34 O 0.0377 0.3249 0.9087
35 O 0.0839 0.7128 0.6751
36 O 0.0839 0.8710 0.4087
37 O 0.0913 0.6290 0.4161
38 O 0.0913 0.9623 0.6751
39 O 0.1290 0.0377 0.2128
40 O 0.1290 0.5913 0.9161
41 O 0.1751 0.2128 0.5839
42 O 0.1751 0.4623 0.5913
43 O 0.2128 0.1290 0.0377
44 O 0.2128 0.5839 0.1751
45 O 0.2872 0.3249 0.9161
46 O 0.2872 0.4623 0.3710
47 O 0.3249 0.9087 0.0377
48 O 0.3249 0.9161 0.2872
49 O 0.3710 0.2872 0.4623
50 O 0.3710 0.5839 0.9087
51 O 0.4087 0.0839 0.8710
52 O 0.4087 0.8249 0.5377
53 O 0.4161 0.0913 0.6290
54 O 0.4161 0.8249 0.7872
55 O 0.4623 0.3710 0.2872
56 O 0.4623 0.5913 0.1751
57 O 0.5377 0.4087 0.8249
58 O 0.5377 0.6290 0.7128
59 O 0.5839 0.1751 0.2128
60 O 0.5839 0.9087 0.3710
61 O 0.5913 0.1751 0.4623
62 O 0.5913 0.9161 0.1290
63 O 0.6290 0.4161 0.0913
64 O 0.6290 0.7128 0.5377
65 O 0.6751 0.0839 0.7128
66 O 0.6751 0.0913 0.9623
67 O 0.7128 0.5377 0.6290
68 O 0.7128 0.6751 0.0839
69 O 0.7872 0.4161 0.8249
70 O 0.7872 0.8710 0.9623
71 O 0.8249 0.5377 0.4087
72 O 0.8249 0.7872 0.4161
73 O 0.8710 0.4087 0.0839
74 O 0.8710 0.9623 0.7872
75 O 0.9087 0.0377 0.3249
76 O 0.9087 0.3710 0.5839
77 O 0.9161 0.1290 0.5913
78 O 0.9161 0.2872 0.3249
79 O 0.9623 0.6751 0.0913
80 O 0.9623 0.7872 0.8710

SG: Ia-3d (230)
VASP energy: -8.28 eV per atom
Crystal system: cubic

---

This record from Alexandria via LeMat-Bulk describes crystalline Sc2BP at its relaxed geometry. The functional is PBE-GGA.

Lattice parameters (Å, degrees): 4.4458 4.4458 4.4458 60.00 60.00 60.00
Element x y z (fractional)
1 Sc 0.2500 0.2500 0.2500
2 Sc 0.7500 0.7500 0.7500
3 B 0.0000 0.0000 0.0000
4 P 0.5000 0.5000 0.5000

Formation energy: -0.272 eV/atom
SG: Fm-3m (225)
Crystal system: cubic
Energy above the most stable polymorph in this dataset: 0.284 eV/f.u.

---

This record from Alexandria via LeMat-Bulk describes crystalline Sc2ReMo at its relaxed geometry. The functional is PBE-GGA.

Lattice parameters (Å, degrees): 3.2999 4.5717 4.6469 90.00 90.00 90.00
Element x y z (fractional)
1 Sc 0.0000 0.0000 0.0000
2 Sc 0.5000 0.0000 0.5000
3 Re 0.0000 0.5000 0.5000
4 Mo 0.5000 0.5000 0.0000

Formation energy: 0.112 eV/atom
SG: Pmmm (47)
Crystal system: orthorhombic
Energy above the most stable polymorph in this dataset: 0.805 eV/f.u.

---

M_tot in μB/cell, matching the order above: 1.7; 0.0; 0.0; 0.0; 0.0; 2.9; 0.0; 0.0; 0.0; 0.0; 0.1; 0.4; 0.0; 0.0; 0.0; 0.0; 0.0; 0.0; 0.0; 0.0